First-principles (GGA+U) data for crystalline LaTiFeO2 at its relaxed geometry, as listed in the Alexandria database.

Lattice parameters (Å, degrees): 4.3531 4.3531 6.3065 90.00 90.00 90.00
Last column: nearest neighbours and their distance in Å.
Fractional positions:
La 0.0000 0.0000 0.0000  4 O 2.18
Ti 0.5000 0.5000 0.5000  4 Fe 3.08
Fe 0.0000 0.0000 0.5000  4 Ti 3.08, 2 La 3.15
O 0.0000 0.5000 0.0000  2 La 2.18
O 0.5000 0.0000 0.0000  2 La 2.18

Properties
Symmetry ... P4/mmm, No. 123
Raw total energy ... -0.2202 Ha/atom